Record 1
Density functional theory data (GGA-PBE) for a geometry-optimized Cs3Ca2PaSe6 structure.

Cell and atoms, written as POSCAR:
```
Cs3Ca2PaSe6
1.0
3.771 -6.527 0.000
3.771 6.527 0.000
-2.499 0.000 8.328
Cs Ca Pa Se
3 2 1 6
Cartesian
0.000 0.000 0.000
3.771 2.262 0.000
3.771 -2.262 0.000
2.521 4.362 4.164
2.521 -4.362 4.164
2.521 0.000 4.164
1.339 2.040 2.625
0.175 0.000 5.731
1.339 -2.040 2.625
3.703 2.040 5.704
4.867 0.000 2.598
3.703 -2.040 5.704
```

For the density of states at the Fermi level, the calculation gives 0.00 states/eV/f.u. The calculation puts the total energy at -4.683 eV/atom.

***

Record 2
Density functional theory data (GGA-PBE) for a geometry-optimized AlGeP2Cl structure.

Cell and atoms, written as POSCAR:
```
AlGeP2Cl
1.0
4.731 0.000 0.000
0.000 4.731 0.000
0.000 0.000 4.628
Al Ge P Cl
1 1 2 1
Cartesian
0.000 0.000 0.000
2.366 2.366 2.314
0.000 2.366 0.000
2.366 0.000 0.000
0.000 0.000 2.314
```

The relative energy among the computed polymorphs comes out at 0.000 eV/atom. For the density of states at the Fermi level, the calculation gives 4.44 states/eV/f.u.

***

Record 3
Density functional theory data (GGA-PBE) for a geometry-optimized Sm2UTl3Te6 structure.

Cell and atoms, written as POSCAR:
```
Sm2UTl3Te6
1.0
3.898 -6.751 0.000
3.898 6.751 0.000
-2.597 0.000 8.223
Sm U Tl Te
2 1 3 6
Cartesian
3.898 4.501 0.000
3.898 -4.501 0.000
3.898 0.000 0.000
-1.299 0.000 4.111
2.599 2.254 4.111
2.599 -2.254 4.111
0.008 2.240 6.432
1.314 0.000 1.795
0.008 -2.240 6.432
5.190 2.240 1.791
3.885 0.000 6.427
5.190 -2.240 1.791
```

For the density of states at the Fermi level, the calculation gives 4.59 states/eV/f.u. The calculation puts the total energy at -4.769 eV/atom.

***

Record 4
Density functional theory data (GGA-PBE) for a geometry-optimized MoSe3 structure.

Cell and atoms, written as POSCAR:
```
MoSe3
1.0
1.591 -2.446 0.000
1.591 2.446 0.000
0.000 0.000 10.629
Mo Se
1 3
Cartesian
0.000 0.000 0.000
0.000 0.000 5.314
1.591 0.000 2.048
1.591 0.000 8.580
```

For the density of states at the Fermi level, the calculation gives 3.72 states/eV/f.u. The calculation puts the total energy at -5.046 eV/atom.

***

Record 5
Density functional theory data (GGA-PBE) for a geometry-optimized TaTi2Ga structure.

Cell and atoms, written as POSCAR:
```
TaTi2Ga
1.0
3.293 0.000 0.000
0.000 3.293 0.000
0.000 0.000 6.189
Ta Ti Ga
1 2 1
Cartesian
0.000 0.000 0.000
1.646 1.646 1.559
1.646 1.646 4.630
0.000 0.000 3.095
```

The relative energy among the computed polymorphs comes out at 0.000 eV/atom. The calculation puts the calculated formation energy at -260 meV per atom. For the density of states at the Fermi level, the calculation gives 4.97 states/eV/f.u.

***

Record 6
Density functional theory data (GGA-PBE) for a geometry-optimized Ba2AcMnSe5 structure.

Cell and atoms, written as POSCAR:
```
Ba2AcMnSe5
1.0
2.235 -9.615 0.000
2.235 9.615 0.000
0.000 0.000 13.626
Ba Ac Mn Se
4 2 2 10
Cartesian
2.235 7.307 6.813
2.235 7.266 2.062
2.235 -7.266 8.875
2.235 -7.307 0.000
2.235 5.828 11.462
2.235 -5.828 4.649
2.235 1.053 2.996
2.235 -1.053 9.809
2.235 9.001 10.786
2.235 3.819 6.736
2.235 3.468 2.430
2.235 2.838 11.249
2.235 0.088 7.731
2.235 -0.088 0.917
2.235 -2.838 4.436
2.235 -3.468 9.243
2.235 -3.819 13.549
2.235 -9.001 3.973
```

For the density of states at the Fermi level, the calculation gives 3.65 states/eV/f.u. The calculation puts the total energy at -5.404 eV/atom.

***

Please write out number 5 again, unchanged.
Density functional theory data (GGA-PBE) for a geometry-optimized TaTi2Ga structure.

Cell and atoms, written as POSCAR:
```
TaTi2Ga
1.0
3.293 0.000 0.000
0.000 3.293 0.000
0.000 0.000 6.189
Ta Ti Ga
1 2 1
Cartesian
0.000 0.000 0.000
1.646 1.646 1.559
1.646 1.646 4.630
0.000 0.000 3.095
```

The relative energy among the computed polymorphs comes out at 0.000 eV/atom. The calculation puts the calculated formation energy at -260 meV per atom. For the density of states at the Fermi level, the calculation gives 4.97 states/eV/f.u.